First-principles (PBE) data for a relaxed structure of Sc2CuPt, as listed in Alexandria via LeMat-Bulk. Values from VASP.

Structure (Quantum ESPRESSO input):
```
&SYSTEM
  ibrav = 0, nat = 4, ntyp = 3
/
ATOMIC_SPECIES
Sc 44.96 Sc.upf
Cu 63.55 Cu.upf
Pt 195.08 Pt.upf
ATOMIC_POSITIONS crystal
Sc 0.750 0.750 0.750
Cu 0.500 0.500 0.500
Sc 0.000 0.000 0.000
Pt 0.250 0.250 0.250
CELL_PARAMETERS angstrom
4.550 0.000 0.000
2.275 3.941 0.000
2.275 1.314 3.715
```

The formation energy from the elements comes out at -594 meV per atom. As for the energy: -6.294 eV per atom.